No. 1
The following is a PBE calculation of a geometry-optimized Sr3Y2NpN6 structure, from Alexandria via LeMat-Bulk.

Unit cell a=6.132 b=6.132 c=6.341 alpha=99.30 beta=99.30 gamma=119.98
Site moments in Bohr magnetons follow the coordinates.
Positions (direct):
Sr 0.167 0.833 0.500  0.00
Sr 0.833 0.167 0.500  0.00
Sr 0.500 0.500 0.500  0.00
Y 0.333 0.667 0.000  0.00
Y 0.667 0.333 0.000  0.00
Np 0.000 0.000 0.000  1.28
N 0.932 0.626 0.795  -0.04
N 0.763 0.763 0.203  -0.04
N 0.068 0.374 0.205  -0.04
N 0.626 0.932 0.795  -0.04
N 0.237 0.237 0.797  -0.04
N 0.374 0.068 0.205  -0.04

## Properties
**Space-group type**: C2/m (12)
**D(E_F)**: 0.0198 states/eV/atom
**Energy**: -7.952 eV/atom
**Formation energy without anion corrections**: -1405 kJ/mol of formula units

***

No. 2
The following is a PBE calculation of a geometry-optimized SrNpZnN3 structure, from Alexandria via LeMat-Bulk.

Unit cell a=3.574 b=8.709 c=6.472 alpha=105.60 beta=90.00 gamma=90.00
Site moments in Bohr magnetons follow the coordinates.
Positions (direct):
Sr 0.250 0.300 0.343  0.01
Sr 0.750 0.700 0.657  0.01
Np 0.250 0.666 0.141  2.26
Np 0.750 0.334 0.859  2.26
Zn 0.250 0.056 0.659  -0.01
Zn 0.750 0.944 0.341  -0.01
N 0.750 0.786 0.061  -0.12
N 0.250 0.214 0.939  -0.12
N 0.250 0.834 0.470  -0.06
N 0.750 0.166 0.530  -0.06
N 0.750 0.509 0.202  -0.13
N 0.250 0.491 0.798  -0.13

## Properties
**Space-group type**: P2_1/m (11)
**D(E_F)**: 0.7708 states/eV/atom
**Energy**: -7.545 eV/atom
**Formation energy without anion corrections**: -424 kJ/mol of formula units

***

No. 3
The following is a PBE calculation of a geometry-optimized SrZr2Np3N6 structure, from Alexandria via LeMat-Bulk.

Unit cell a=3.395 b=6.873 c=7.674 alpha=102.16 beta=102.78 gamma=90.00
Site moments in Bohr magnetons follow the coordinates.
Positions (direct):
Sr 0.500 0.000 0.000  0.06
Zr 0.828 0.656 0.656  0.02
Zr 0.172 0.344 0.344  0.02
Np 0.500 0.500 0.000  2.54
Np 0.832 0.168 0.665  3.27
Np 0.168 0.832 0.335  3.27
N 0.323 0.901 0.646  -0.11
N 0.668 0.579 0.336  -0.07
N 0.677 0.099 0.354  -0.11
N 0.007 0.288 0.014  -0.12
N 0.993 0.712 0.986  -0.12
N 0.332 0.421 0.664  -0.07

## Properties
**Space-group type**: C2/m (12)
**D(E_F)**: 1.3773 states/eV/atom
**Energy**: -10.201 eV/atom
**Formation energy without anion corrections**: -1434 kJ/mol of formula units

***

No. 4
The following is a PBE calculation of a geometry-optimized Sr4ZrNp3N8 structure, from Alexandria via LeMat-Bulk.

Unit cell a=7.025 b=7.206 c=7.025 alpha=119.17 beta=120.00 gamma=90.00
Site moments in Bohr magnetons follow the coordinates.
Positions (direct):
Sr 0.500 0.000 0.000  0.08
Sr 0.500 0.000 0.500  0.06
Sr 0.000 0.000 0.000  0.06
Sr 0.000 0.000 0.500  0.06
Zr 0.000 0.500 0.000  0.17
Np 0.500 0.500 0.000  2.85
Np 0.500 0.500 0.500  2.85
Np 0.000 0.500 0.500  2.85
N 0.232 0.696 0.964  -0.11
N 0.232 0.696 0.463  -0.11
N 0.268 0.304 0.536  -0.14
N 0.733 0.696 0.964  -0.11
N 0.267 0.304 0.036  -0.11
N 0.732 0.696 0.464  -0.14
N 0.768 0.304 0.537  -0.11
N 0.768 0.304 0.036  -0.11

## Properties
**Space-group type**: R-3m (166)
**D(E_F)**: 1.4167 states/eV/atom
**Energy**: -8.637 eV/atom
**Formation energy without anion corrections**: -1688 kJ/mol of formula units

***

No. 5
The following is a PBE calculation of a geometry-optimized Sr2ZrNpN4 structure, from Alexandria via LeMat-Bulk.

Unit cell a=3.484 b=5.964 c=6.264 alpha=108.08 beta=90.00 gamma=90.00
Site moments in Bohr magnetons follow the coordinates.
Positions (direct):
Sr 0.500 0.000 0.500  0.04
Sr 0.000 0.500 0.500  0.05
Zr 0.000 0.000 0.000  0.12
Np 0.500 0.500 0.000  2.62
N 0.500 0.238 0.197  -0.07
N 0.500 0.762 0.803  -0.07
N 0.000 0.265 0.802  -0.10
N 0.000 0.735 0.198  -0.10

## Properties
**Space-group type**: P2/m (10)
**D(E_F)**: 0.8151 states/eV/atom
**Energy**: -8.439 eV/atom
**Formation energy without anion corrections**: -903 kJ/mol of formula units

***

No. 6
The following is a PBE calculation of a geometry-optimized Np2Ta2N7 structure, from Alexandria via LeMat-Bulk.

Unit cell a=5.102 b=5.122 c=5.122 alpha=92.26 beta=90.00 gamma=90.00
Site moments in Bohr magnetons follow the coordinates.
Positions (direct):
Np 0.500 0.746 0.746  1.86
Np 0.500 0.254 0.254  1.86
Ta 0.000 0.727 0.273  0.04
Ta 0.000 0.273 0.727  0.04
N 0.745 0.000 0.500  -0.12
N 0.255 0.500 0.000  -0.12
N 0.255 0.000 0.500  -0.12
N 0.745 0.500 0.000  -0.12
N 0.000 0.000 0.000  -0.11
N 0.249 0.500 0.500  -0.09
N 0.751 0.500 0.500  -0.09

## Properties
**Space-group type**: Cmmm (65)
**D(E_F)**: 0.7644 states/eV/atom
**Energy**: -10.591 eV/atom
**Formation energy without anion corrections**: -834 kJ/mol of formula units